Record 1
{"formula": "Y3CdIr", "functional": "PBE-GGA", "state": "optimized geometry", "lattice_angstrom": [[-4.006, -3.238, 1.588], [3.504, -2.935, 2.857], [-0.852, 3.155, 4.287]], "species": ["Ir", "Y", "Cd", "Y", "Y"], "frac_coords": [[0.000, 0.000, 0.000], [0.000, 0.500, 0.000], [0.500, 0.500, 0.500], [0.000, 0.000, 0.500], [0.500, 0.000, 0.000]], "m_tot_mub_per_fu": 0.00, "e_tot_ev_per_atom": -6.1434, "de_polymorph_mev_per_atom": 215, "ef_ev_per_atom": -0.310}



Record 2
{"formula": "Y8Cd2Ir", "functional": "PBE-GGA", "state": "optimized geometry", "lattice_angstrom": [[-1.175, 2.597, 4.463], [-2.632, -5.829, 2.700], [9.291, -0.768, -0.249]], "species": ["Y", "Y", "Y", "Y", "Y", "Cd", "Ir", "Y", "Y", "Cd", "Y"], "frac_coords": [[0.979, 0.212, 0.958], [0.799, 0.700, 0.599], [0.201, 0.300, 0.401], [0.590, 0.427, 0.180], [0.348, 0.041, 0.695], [0.181, 0.714, 0.362], [0.500, 0.000, 0.000], [0.652, 0.959, 0.305], [0.410, 0.573, 0.820], [0.819, 0.286, 0.638], [0.021, 0.788, 0.042]], "m_tot_mub_per_fu": 0.00, "e_tot_ev_per_atom": -5.9595, "ef_ev_per_atom": -0.286}



Record 3
{"formula": "YCd2Ir", "functional": "PBE-GGA", "state": "optimized geometry", "lattice_angstrom": [[7.866, -0.261, -0.155], [7.006, 3.587, -0.155], [7.006, 1.567, 3.231]], "species": ["Y", "Ir", "Cd", "Cd"], "frac_coords": [[0.769, 0.769, 0.769], [0.503, 0.503, 0.503], [0.237, 0.237, 0.237], [0.991, 0.991, 0.991]], "m_tot_mub_per_fu": 0.00, "e_tot_ev_per_atom": -4.3275, "ef_ev_per_atom": -0.039}



Record 4
{"formula": "YCd2Ir", "functional": "PBE-GGA", "state": "optimized geometry", "lattice_angstrom": [[-1.818, -3.198, -1.879], [1.962, -2.603, 2.531], [-3.732, 0.263, 3.163]], "species": ["Cd", "Y", "Ir", "Cd"], "frac_coords": [[0.000, 0.000, 0.000], [0.000, 0.500, 0.500], [0.500, 0.000, 0.500], [0.500, 0.500, 0.000]], "m_tot_mub_per_fu": 0.00, "e_tot_ev_per_atom": -4.5519, "ef_ev_per_atom": -0.263}



Record 5
{"formula": "Y4CdIr3", "functional": "PBE-GGA", "state": "optimized geometry", "lattice_angstrom": [[4.899, 0.000, 0.000], [0.000, 7.191, 0.000], [0.000, 0.000, 9.797]], "species": ["Ir", "Y", "Cd", "Y", "Y", "Ir", "Y", "Ir", "Y", "Ir", "Y", "Y", "Y", "Ir", "Ir", "Cd"], "frac_coords": [[0.000, 0.000, 0.500], [0.500, 0.237, 0.000], [0.000, 0.500, 0.500], [0.000, 0.763, 0.750], [0.500, 0.763, 0.500], [0.500, 0.000, 0.750], [0.000, 0.237, 0.250], [0.500, 0.000, 0.250], [0.000, 0.237, 0.750], [0.500, 0.500, 0.750], [0.000, 0.763, 0.250], [0.500, 0.237, 0.500], [0.500, 0.763, 0.000], [0.000, 0.000, 0.000], [0.500, 0.500, 0.250], [0.000, 0.500, 0.000]], "m_tot_mub_per_fu": 0.00, "e_tot_ev_per_atom": -7.3220, "ef_ev_per_atom": -0.653}



Record 6
{"formula": "YCd2Ir2", "functional": "PBE-GGA", "state": "optimized geometry", "lattice_angstrom": [[-3.528, 2.106, -0.548], [-0.449, -1.725, -3.743], [-5.142, -4.438, 0.366]], "species": ["Y", "Ir", "Ir", "Cd", "Cd"], "frac_coords": [[0.000, 0.000, 0.000], [0.401, 0.401, 0.198], [0.599, 0.599, 0.802], [0.250, 0.750, 0.500], [0.750, 0.250, 0.500]], "m_tot_mub_per_fu": 0.00, "e_tot_ev_per_atom": -5.3923, "de_polymorph_mev_per_atom": 0, "ef_ev_per_atom": -0.189}



Record 7
{"formula": "YCd2Ir", "functional": "PBE-GGA", "state": "optimized geometry", "lattice_angstrom": [[-0.158, 4.921, 1.708], [0.219, 2.193, 4.723], [4.694, 2.878, 2.018]], "species": ["Cd", "Cd", "Ir", "Y"], "frac_coords": [[0.029, 0.029, 0.997], [0.797, 0.797, 0.798], [0.473, 0.473, 0.384], [0.201, 0.201, 0.321]], "m_tot_mub_per_fu": 0.00, "e_tot_ev_per_atom": -4.5335, "ef_ev_per_atom": -0.245}



Record 8
{"formula": "Y2CdIr", "functional": "PBE-GGA", "state": "optimized geometry", "lattice_angstrom": [[-6.016, 1.009, -5.318], [1.897, -7.054, -3.484], [-4.044, -4.524, -2.441]], "species": ["Cd", "Ir", "Ir", "Y", "Y", "Cd", "Y", "Y"], "frac_coords": [[0.250, 0.750, 0.500], [0.750, 0.250, 0.500], [0.000, 0.000, 0.000], [0.072, 0.625, 0.250], [0.875, 0.928, 0.750], [0.500, 0.500, 0.000], [0.678, 0.125, 0.250], [0.375, 0.322, 0.750]], "m_tot_mub_per_fu": 0.00, "e_tot_ev_per_atom": -5.8433, "ef_ev_per_atom": -0.167}



Record 9
{"formula": "Y2CdIr", "functional": "PBE-GGA", "state": "optimized geometry", "lattice_angstrom": [[-0.105, 5.639, -0.661], [-2.411, 2.847, 4.281], [3.979, -4.030, -0.420]], "species": ["Ir", "Y", "Y", "Cd"], "frac_coords": [[0.750, 0.250, 0.500], [0.000, 0.000, 0.000], [0.250, 0.750, 0.500], [0.500, 0.500, 0.000]], "m_tot_mub_per_fu": 0.00, "e_tot_ev_per_atom": -5.9943, "ef_ev_per_atom": -0.318}



Record 10
{"formula": "Y2CdIr", "functional": "PBE-GGA", "state": "optimized geometry", "lattice_angstrom": [[9.102, -0.018, -0.011], [8.323, 3.683, -0.011], [8.323, 1.751, 3.241]], "species": ["Ir", "Y", "Cd", "Y"], "frac_coords": [[0.753, 0.753, 0.753], [0.025, 0.025, 0.025], [0.483, 0.483, 0.483], [0.239, 0.239, 0.239]], "m_tot_mub_per_fu": 0.52, "e_tot_ev_per_atom": -5.6938, "ef_ev_per_atom": -0.018}



Record 11
{"formula": "Y2CdIr", "functional": "PBE-GGA", "state": "optimized geometry", "lattice_angstrom": [[3.489, 0.000, 0.000], [0.000, 3.489, 0.000], [0.000, 0.000, 8.053]], "species": ["Y", "Ir", "Cd", "Y"], "frac_coords": [[0.500, 0.500, 0.290], [0.500, 0.500, 0.741], [0.000, 0.000, 0.543], [0.000, 0.000, 0.927]], "m_tot_mub_per_fu": 0.50, "e_tot_ev_per_atom": -5.9049, "ef_ev_per_atom": -0.229}



Record 12
{"formula": "Y6CdIr5", "functional": "PBE-GGA", "state": "optimized geometry", "lattice_angstrom": [[4.749, 0.002, -0.986], [-0.003, 7.165, -0.001], [-0.874, 0.000, 7.625]], "species": ["Y", "Y", "Ir", "Y", "Ir", "Y", "Y", "Y", "Cd", "Ir", "Ir", "Ir"], "frac_coords": [[0.172, 0.746, 0.344], [0.500, 0.737, 0.000], [0.000, 0.500, 0.000], [0.500, 0.263, 0.000], [0.668, 0.500, 0.335], [0.172, 0.254, 0.344], [0.828, 0.746, 0.656], [0.828, 0.254, 0.656], [0.000, 0.000, 0.000], [0.332, 0.500, 0.665], [0.661, 0.000, 0.323], [0.339, 0.000, 0.677]], "m_tot_mub_per_fu": 0.00, "e_tot_ev_per_atom": -7.7058, "ef_ev_per_atom": -0.705}



Record 13
{"formula": "Y2CdIr", "functional": "PBE-GGA", "state": "optimized geometry", "lattice_angstrom": [[-3.643, -0.766, 1.538], [-3.039, -1.024, -2.438], [-0.325, -8.100, 0.476]], "species": ["Y", "Ir", "Cd", "Y"], "frac_coords": [[0.518, 0.518, 0.445], [0.250, 0.250, 0.250], [0.750, 0.750, 0.750], [0.982, 0.982, 0.055]], "m_tot_mub_per_fu": 0.00, "e_tot_ev_per_atom": -6.1486, "ef_ev_per_atom": -0.473}



Record 14
{"formula": "YCd2Ir", "functional": "PBE-GGA", "state": "optimized geometry", "lattice_angstrom": [[10.128, -0.004, -0.002], [9.650, 3.076, -0.002], [9.650, 1.499, 2.686]], "species": ["Ir", "Y", "Cd", "Cd"], "frac_coords": [[0.250, 0.250, 0.250], [0.750, 0.750, 0.750], [0.510, 0.510, 0.510], [0.990, 0.990, 0.990]], "m_tot_mub_per_fu": 0.25, "e_tot_ev_per_atom": -4.0974, "ef_ev_per_atom": 0.191}



Record 15
{"formula": "YCd2Ir", "functional": "PBE-GGA", "state": "optimized geometry", "lattice_angstrom": [[-0.737, 3.605, 0.965], [-1.690, -1.250, 3.377], [4.502, -0.285, 4.499]], "species": ["Y", "Ir", "Cd", "Cd"], "frac_coords": [[0.500, 0.723, 0.679], [0.000, 0.280, 0.566], [0.500, 0.448, 0.229], [0.000, 0.050, 0.026]], "m_tot_mub_per_fu": 0.00, "e_tot_ev_per_atom": -4.5793, "ef_ev_per_atom": -0.290}



Record 16
{"formula": "Y3CdIr8", "functional": "PBE-GGA", "state": "optimized geometry", "lattice_angstrom": [[5.115, 0.000, 1.544], [2.325, 4.557, 1.544], [-0.006, -0.004, 9.266]], "species": ["Ir", "Ir", "Ir", "Ir", "Ir", "Y", "Ir", "Cd", "Y", "Ir", "Y", "Ir"], "frac_coords": [[0.188, 0.188, 0.437], [0.938, 0.938, 0.687], [0.939, 0.437, 0.187], [0.437, 0.938, 0.687], [0.437, 0.939, 0.187], [0.996, 0.996, 0.012], [0.688, 0.688, 0.937], [0.873, 0.873, 0.380], [0.376, 0.376, 0.873], [0.437, 0.437, 0.187], [0.503, 0.503, 0.490], [0.938, 0.437, 0.687]], "m_tot_mub_per_fu": 0.00, "e_tot_ev_per_atom": -8.1860, "ef_ev_per_atom": -0.586}



Record 17
{"formula": "YZrCdIr", "functional": "PBE-GGA", "state": "optimized geometry", "lattice_angstrom": [[-1.916, -3.024, -3.386], [2.972, -2.726, -2.832], [0.224, -4.880, 0.646]], "species": ["Ir", "Cd", "Y", "Zr"], "frac_coords": [[0.500, 0.500, 0.500], [0.000, 0.000, 0.000], [0.750, 0.750, 0.750], [0.250, 0.250, 0.250]], "m_tot_mub_per_fu": 0.00, "e_tot_ev_per_atom": -6.5957, "ef_ev_per_atom": -0.399}



Record 18
{"formula": "ZnCdIr", "functional": "PBE-GGA", "state": "optimized geometry", "lattice_angstrom": [[5.398, 0.009, -0.011], [3.537, 4.083, 0.007], [-4.465, -2.055, 2.242]], "species": ["Zn", "Cd", "Ir"], "frac_coords": [[0.686, 0.687, 0.999], [0.999, 0.998, 0.001], [0.315, 0.315, 0.000]], "m_tot_mub_per_fu": 0.00, "e_tot_ev_per_atom": -3.6799, "de_polymorph_mev_per_atom": 68, "ef_ev_per_atom": 0.003}



Record 19
{"formula": "ZnCdIr2", "functional": "PBE-GGA", "state": "optimized geometry", "lattice_angstrom": [[-2.663, -0.176, 0.866], [0.613, -2.350, 1.406], [1.854, 4.432, 6.603]], "species": ["Cd", "Ir", "Ir", "Zn"], "frac_coords": [[0.500, 0.500, 0.758], [0.000, 0.000, 0.024], [0.500, 0.500, 0.247], [0.000, 0.000, 0.471]], "m_tot_mub_per_fu": 0.00, "e_tot_ev_per_atom": -4.9126, "ef_ev_per_atom": 0.065}



Record 20
{"formula": "ZnCdIr2", "functional": "PBE-GGA", "state": "optimized geometry", "lattice_angstrom": [[2.807, 0.000, 0.000], [-1.428, 2.417, 0.000], [0.000, 0.000, 9.508]], "species": ["Cd", "Ir", "Zn", "Ir"], "frac_coords": [[0.500, 0.500, 0.752], [0.500, 0.500, 0.252], [0.000, 0.000, 0.482], [0.000, 0.000, 0.014]], "m_tot_mub_per_fu": 0.00, "e_tot_ev_per_atom": -4.7751, "ef_ev_per_atom": 0.203}